22
Lattice="-3.9402 -3.3131 -4.1150 -0.9773 -6.0229 2.4909 -5.8802 2.4627 3.6476" Properties=species:S:1:pos:R:3 comment="GGA-PBE NbAgSe2O7, optimized geometry" final_energy_ev_per_atom=-6.191 mass_density_g_cm3=5.2 total_magnetization_mub_per_fu=0.0 pbc="T T T"
Ag 0.0000 0.0000 0.0000
Ag -2.9401 1.2313 1.8238
Nb -2.4587 -4.6680 -0.8120
Nb -5.3988 -3.4366 1.0117
O -1.6675 -3.7279 0.7843
O -2.9843 -6.2277 0.3494
O -2.2981 -0.6634 0.4406
O -4.1835 -3.8194 -0.4680
O -5.7678 -7.2507 -0.7054
O -3.8478 -2.8148 2.1367
O -5.1645 -5.3146 1.7019
O -5.6331 -1.5586 0.3216
O -6.9499 -4.0585 -0.1132
O -5.0298 0.3774 2.7289
O -6.6142 -3.0539 2.4915
O -8.4996 -6.2099 1.5829
O -7.8134 -0.6455 1.6741
O -9.1301 -3.1454 1.2392
Se -2.0743 -2.7588 2.2161
Se -4.1997 -6.7940 1.5141
Se -6.5979 -0.0793 0.5094
Se -8.7233 -4.1144 -0.1926